Entry 1
DFT (GGA-PBE) results for Ba2FeCo after structural relaxation.

Computed properties:
Volume ... 31.05 Å³ per atom
Size of the total moment ... 0.805 μB/atom

abc: 4.080 4.758 12.799
angles: 90.00 90.00 90.00
Space group Amm2 (No. 38)
Inequivalent atoms, fractional coordinates:
Ba 0.000 0.000 0.000 x2
Ba 0.500 0.000 0.271 x2
Fe 0.500 0.000 0.594 x2
Co 0.000 0.000 0.679 x2

Entry 2
DFT (GGA-PBE) results for Ba2FeCo after structural relaxation.

Computed properties:
Volume ... 29.03 Å³ per atom
Size of the total moment ... 0.863 μB/atom

abc: 7.745 7.745 7.745
angles: 90.00 90.00 90.00
Space group Fm-3m (No. 225)
Inequivalent atoms, fractional coordinates:
Ba 0.250 0.250 0.250 x8
Fe 0.000 0.000 0.000 x4
Co 0.000 0.000 0.500 x4

Relative energies, unit meV/atom: entry 1 0; entry 2 395